1.
Density functional theory data (PBE) for an optimized crystal structure of LuZnPd2.

## Properties
Total energy = -4.861 eV/atom
Crystal system = hexagonal
Total magnetic moment = 0.000 μB per atom
V = 146.62 Å³/cell
Formation energy = -0.826 eV/atom

Geometry as POSCAR:
```
LuZnPd2
1.0
2.1949 -3.8017 0.0000
2.1949 3.8017 0.0000
0.0000 0.0000 8.7854
Lu Pd Zn
2 4 2
Cartesian
2.1949 1.2673 2.1964
2.1949 -1.2673 6.5891
2.1949 -1.2673 0.7436
2.1949 1.2673 8.0418
2.1949 1.2673 5.1363
2.1949 -1.2673 3.6491
0.0000 0.0000 0.0000
0.0000 0.0000 4.3927
```

=====

2.
Density functional theory data (PBE) for an optimized crystal structure of Lu3ZnPd.

## Properties
Total energy = -3.662 eV/atom
Crystal system = orthorhombic
Total magnetic moment = 0.005 μB per atom
V = 409.47 Å³/cell
Formation energy = 0.341 eV/atom

Geometry as POSCAR:
```
Lu3ZnPd
1.0
4.3429 -7.5312 0.0000
4.3429 7.5312 0.0000
0.0000 0.0000 6.2596
Pd Lu Zn
2 6 2
Cartesian
0.0000 0.0000 3.1298
0.0000 0.0000 0.0000
4.3429 5.3291 4.6947
4.3429 -5.3291 1.5649
1.9069 -1.1006 1.5649
6.7790 1.1006 4.6947
1.9069 1.1006 4.6947
6.7790 -1.1006 1.5649
4.3429 2.5127 4.6947
4.3429 -2.5127 1.5649
```

=====

3.
Density functional theory data (PBE) for an optimized crystal structure of LuZnPd2.

## Properties
Total energy = -4.646 eV/atom
Crystal system = cubic
Total magnetic moment = 0.000 μB per atom
V = 70.09 Å³/cell
Formation energy = -0.611 eV/atom

Geometry as POSCAR:
```
LuZnPd2
1.0
2.6649 -3.7080 -0.7524
-1.1037 -3.0025 -3.3443
2.5864 -0.2521 -3.8294
Zn Pd Lu
1 2 1
Cartesian
1.0369 -1.7407 -1.9815
0.0000 0.0000 0.0000
3.1107 -5.2220 -5.9445
2.0738 -3.4813 -3.9630
```

=====

4.
Density functional theory data (PBE) for an optimized crystal structure of LuZnPd2.

## Properties
Total energy = -4.553 eV/atom
Crystal system = hexagonal
Total magnetic moment = 0.000 μB per atom
V = 145.38 Å³/cell
Formation energy = -0.518 eV/atom

Geometry as POSCAR:
```
LuZnPd2
1.0
0.9998 0.7410 -4.5103
-4.4551 -0.3917 1.3749
-0.3026 7.5715 1.1768
Zn Lu Pd
2 2 4
Cartesian
-2.8637 5.6645 0.2957
-0.8941 2.2563 -2.2544
-0.2270 5.6786 0.8826
-0.0757 1.8929 0.2942
-2.7652 3.1989 -0.0875
-1.0982 7.3623 -1.4608
-2.6597 0.5585 -0.4979
-0.9927 4.7218 -1.8712
```

=====

5.
Density functional theory data (PBE) for an optimized crystal structure of Lu2ZnPd.

## Properties
Total energy = -4.238 eV/atom
Crystal system = cubic
Total magnetic moment = 0.000 μB per atom
V = 77.16 Å³/cell
Formation energy = -0.367 eV/atom

Geometry as POSCAR:
```
Lu2ZnPd
1.0
-4.0435 -0.0577 -2.5459
-3.5654 2.9816 1.1105
-1.0513 3.6515 -2.8977
Lu Pd Zn
2 1 1
Cartesian
0.0000 0.0000 0.0000
-6.4952 4.9315 -3.2498
-2.1651 1.6438 -1.0833
-4.3301 3.2877 -2.1665
```

=====

6.
Density functional theory data (PBE) for an optimized crystal structure of LuZnPd2.

## Properties
Total energy = -4.694 eV/atom
Crystal system = hexagonal
Total magnetic moment = 0.000 μB per atom
V = 148.89 Å³/cell
Formation energy = -0.659 eV/atom

Geometry as POSCAR:
```
LuZnPd2
1.0
1.6877 3.8890 1.9062
-3.6907 -2.1019 1.8886
4.8273 -4.3473 4.5952
Lu Zn Pd
2 2 4
Cartesian
0.0000 0.0000 0.0000
2.4137 -2.1737 2.2976
3.5154 -1.3685 5.3468
-0.6911 -1.1918 3.0433
0.9265 -2.6485 4.5830
0.3056 1.5221 2.2913
2.5188 -4.0824 6.0987
1.8979 0.0882 3.8070
```

=====

Please write out number 2 again, unchanged.
Density functional theory data (PBE) for an optimized crystal structure of Lu3ZnPd.

## Properties
Total energy = -3.662 eV/atom
Crystal system = orthorhombic
Total magnetic moment = 0.005 μB per atom
V = 409.47 Å³/cell
Formation energy = 0.341 eV/atom

Geometry as POSCAR:
```
Lu3ZnPd
1.0
4.3429 -7.5312 0.0000
4.3429 7.5312 0.0000
0.0000 0.0000 6.2596
Pd Lu Zn
2 6 2
Cartesian
0.0000 0.0000 3.1298
0.0000 0.0000 0.0000
4.3429 5.3291 4.6947
4.3429 -5.3291 1.5649
1.9069 -1.1006 1.5649
6.7790 1.1006 4.6947
1.9069 1.1006 4.6947
6.7790 -1.1006 1.5649
4.3429 2.5127 4.6947
4.3429 -2.5127 1.5649
```

=====

> What is the total magnetic moment in the sixth record?

0.000 μB per atom

=====

> Number 1 is which compound?

LuZnPd2